The following is a DFT calculation (PBE-GGA) of a relaxed TiTl3As crystal.

Cell: 5.418 5.418 5.418 Å, 90.00 90.00 90.00°
Space group Pm-3m (No. 221)
Symmetry-distinct sites (fractional):
Ti 0.000 0.000 0.000 (multiplicity 1)
Tl 0.000 0.000 0.500 (multiplicity 3)
As 0.500 0.500 0.500 (multiplicity 1)

Results
DFT formation energy in meV/atom: 712
Total moment in μB/atom: 0.000
DOS(E_F) in states/eV/f.u.: 5.99
Electronic total energy in eV/atom: -3.22